No. 1
Entry from the Alexandria database: crystalline KY2Ru at its relaxed geometry (GGA-PBEsol). Values from VASP.

Results
ΔE_f   51.4 kJ per mole of atoms
Calculated density   4.69 g/cm³
Space group   R3m (160)

Quantum ESPRESSO input file:
```
&SYSTEM
  ibrav = 0, nat = 4, ntyp = 3
/
ATOMIC_SPECIES
K 39.10 K.upf
Y 88.91 Y.upf
Ru 101.07 Ru.upf
CELL_PARAMETERS angstrom
1.708 0.986 11.135
-1.708 0.986 11.135
0.000 -1.972 11.135
ATOMIC_POSITIONS crystal
K 0.000 0.000 0.000
Y 0.223 0.223 0.223
Y 0.464 0.464 0.464
Ru 0.743 0.743 0.743
```



No. 2
Entry from the Alexandria database: crystalline KZn2Ru at its relaxed geometry (GGA-PBEsol). Values from VASP.

Results
ΔE_f   81.7 kJ per mole of atoms
Calculated density   6.28 g/cm³
Energy relative to the lowest polymorph listed for this composition   0.134 eV/atom
Space group   Pmmm (47)

Quantum ESPRESSO input file:
```
&SYSTEM
  ibrav = 0, nat = 4, ntyp = 3
/
ATOMIC_SPECIES
K 39.10 K.upf
Zn 65.41 Zn.upf
Ru 101.07 Ru.upf
CELL_PARAMETERS angstrom
2.558 0.000 0.000
0.000 5.084 0.000
0.000 0.000 5.513
ATOMIC_POSITIONS crystal
K 0.000 0.000 0.000
Zn 0.000 0.500 0.500
Zn 0.500 0.500 0.000
Ru 0.500 0.000 0.500
```



No. 3
Entry from the Alexandria database: crystalline KZn2Ru at its relaxed geometry (GGA-PBEsol). Values from VASP.

Results
ΔE_f   68.7 kJ per mole of atoms
Calculated density   6.46 g/cm³
Energy relative to the lowest polymorph listed for this composition   0.000 eV/atom
Space group   P2/m (10)

Quantum ESPRESSO input file:
```
&SYSTEM
  ibrav = 0, nat = 4, ntyp = 3
/
ATOMIC_SPECIES
K 39.10 K.upf
Zn 65.41 Zn.upf
Ru 101.07 Ru.upf
CELL_PARAMETERS angstrom
4.966 0.000 0.000
0.000 2.657 0.000
-0.929 0.000 5.282
ATOMIC_POSITIONS crystal
K 0.000 0.000 0.000
Zn 0.000 0.000 0.500
Zn 0.500 0.500 0.000
Ru 0.500 0.500 0.500
```



No. 4
Entry from the Alexandria database: crystalline KZr2ZnRu at its relaxed geometry (GGA-PBEsol). Values from VASP.

Results
ΔE_f   106.5 kJ per mole of atoms
Calculated density   5.46 g/cm³
Space group   P4/mmm (123)

Quantum ESPRESSO input file:
```
&SYSTEM
  ibrav = 0, nat = 5, ntyp = 4
/
ATOMIC_SPECIES
K 39.10 K.upf
Zr 91.22 Zr.upf
Zn 65.41 Zn.upf
Ru 101.07 Ru.upf
CELL_PARAMETERS angstrom
5.056 0.000 0.000
0.000 5.056 0.000
0.000 0.000 4.614
ATOMIC_POSITIONS crystal
K 0.000 0.000 0.000
Zr 0.000 0.500 0.500
Zr 0.500 0.000 0.500
Zn 0.500 0.500 0.500
Ru 0.500 0.500 0.000
```



No. 5
Entry from the Alexandria database: crystalline KZrRu2 at its relaxed geometry (GGA-PBEsol). Values from VASP.

Results
ΔE_f   45.3 kJ per mole of atoms
Calculated density   6.03 g/cm³
Space group   Pmm2 (25)

Quantum ESPRESSO input file:
```
&SYSTEM
  ibrav = 0, nat = 4, ntyp = 3
/
ATOMIC_SPECIES
K 39.10 K.upf
Zr 91.22 Zr.upf
Ru 101.07 Ru.upf
CELL_PARAMETERS angstrom
2.873 0.000 0.000
0.000 3.716 0.000
0.000 0.000 8.579
ATOMIC_POSITIONS crystal
K 0.000 0.000 0.000
Zr 0.500 0.500 0.601
Ru 0.000 0.000 0.412
Ru 0.500 0.500 0.305
```



No. 6
Entry from the Alexandria database: crystalline K2S3 at its relaxed geometry (GGA-PBEsol). Values from VASP.

Results
Formation energy without anion corrections   -0.8187 eV/atom
Calculated density   2.23 g/cm³
Space group   Cmc2_1 (36)

Quantum ESPRESSO input file:
```
&SYSTEM
  ibrav = 0, nat = 10, ntyp = 2
/
ATOMIC_SPECIES
K 39.10 K.upf
S 32.06 S.upf
CELL_PARAMETERS angstrom
3.572 -4.996 0.000
3.572 4.996 0.000
0.000 0.000 7.274
ATOMIC_POSITIONS crystal
K 0.081 0.919 0.500
K 0.398 0.602 0.273
K 0.602 0.398 0.773
K 0.919 0.081 0.000
S 0.106 0.427 0.655
S 0.296 0.704 0.818
S 0.427 0.106 0.155
S 0.573 0.894 0.655
S 0.704 0.296 0.318
S 0.894 0.573 0.155
```



No. 7
Entry from the Alexandria database: crystalline KS3 at its relaxed geometry (GGA-PBEsol). Values from VASP.

Results
Formation energy without anion corrections   -0.5369 eV/atom
Calculated density   2.11 g/cm³
Space group   P2_1/c (14)

Quantum ESPRESSO input file:
```
&SYSTEM
  ibrav = 0, nat = 32, ntyp = 2
/
ATOMIC_SPECIES
K 39.10 K.upf
S 32.06 S.upf
CELL_PARAMETERS angstrom
6.406 0.000 0.000
0.000 11.870 0.000
-3.348 0.000 11.201
ATOMIC_POSITIONS crystal
K 0.209 0.118 0.423
K 0.209 0.382 0.923
K 0.285 0.639 0.478
K 0.285 0.861 0.978
K 0.715 0.139 0.022
K 0.715 0.361 0.522
K 0.791 0.618 0.077
K 0.791 0.882 0.577
S 0.032 0.083 0.843
S 0.032 0.417 0.343
S 0.124 0.179 0.723
S 0.124 0.321 0.223
S 0.209 0.122 0.014
S 0.209 0.378 0.514
S 0.275 0.612 0.059
S 0.275 0.888 0.559
S 0.427 0.554 0.227
S 0.427 0.946 0.727
S 0.449 0.116 0.727
S 0.449 0.384 0.227
S 0.551 0.616 0.773
S 0.551 0.884 0.273
S 0.573 0.054 0.273
S 0.573 0.446 0.773
S 0.725 0.112 0.441
S 0.725 0.388 0.941
S 0.791 0.622 0.486
S 0.791 0.878 0.986
S 0.876 0.679 0.777
S 0.876 0.821 0.277
S 0.968 0.583 0.657
S 0.968 0.917 0.157
```



No. 8
Entry from the Alexandria database: crystalline K2SbS2 at its relaxed geometry (GGA-PBEsol). Values from VASP.

Results
Formation energy without anion corrections   -0.6927 eV/atom
Calculated density   3.44 g/cm³
Space group   P4/mbm (127)

Quantum ESPRESSO input file:
```
&SYSTEM
  ibrav = 0, nat = 10, ntyp = 3
/
ATOMIC_SPECIES
K 39.10 K.upf
Sb 121.76 Sb.upf
S 32.06 S.upf
CELL_PARAMETERS angstrom
7.576 0.000 0.000
0.000 7.576 0.000
0.000 0.000 4.447
ATOMIC_POSITIONS crystal
K 0.137 0.363 0.000
K 0.363 0.863 0.000
K 0.637 0.137 0.000
K 0.863 0.637 0.000
Sb 0.000 0.000 0.500
Sb 0.500 0.500 0.500
S 0.178 0.678 0.500
S 0.322 0.178 0.500
S 0.678 0.822 0.500
S 0.822 0.322 0.500
```